[1]
First-principles (PBE) data for an optimized crystal structure of Dy5YTl3, as listed in the Alexandria database.

## Properties
The magnetization is 0.00 μB per atom. For the calculated density, the calculation gives 9.2 g cm⁻³. The energy above the lowest structure with this stoichiometry comes out at 6.601 kcal/mol of atoms. Its energy of formation from the pure elements is 0.5 kcal/mol of atoms.

```
data_Dy5YTl3
_chemical_formula_sum 'Dy20 Y4 Tl12'
_space_group_name_H-M_alt 'I 4/m c m'
_space_group_IT_number 140
_space_group_name_Hall '-I 4 2c'
_cell_length_a 7.594
_cell_length_b 7.594
_cell_length_c 18.950
_cell_angle_alpha 90.00
_cell_angle_beta 90.00
_cell_angle_gamma 90.00
loop_
_atom_site_label
_atom_site_fract_x
_atom_site_fract_y
_atom_site_fract_z
_atom_site_occupancy
Dy1 0.000 0.000 0.000 1
Dy2 0.207 0.293 0.130 1
Y1 0.000 0.500 0.250 1
Tl1 0.000 0.000 0.250 1
Tl2 0.129 0.371 0.500 1
```

=====

[2]
First-principles (PBE) data for an optimized crystal structure of Th3PaPt12, as listed in the Alexandria database.

## Properties
The magnetization is 0.05 μB per atom. For the calculated density, the calculation gives 18.0 g cm⁻³. Its energy of formation from the pure elements is -24.0 kcal/mol of atoms.

```
data_Th3PaPt12
_chemical_formula_sum 'Th3 Pa1 Pt12'
_space_group_name_H-M_alt 'P 4/m m m'
_space_group_IT_number 123
_space_group_name_Hall '-P 4 2'
_cell_length_a 4.237
_cell_length_b 4.237
_cell_length_c 16.798
_cell_angle_alpha 90.00
_cell_angle_beta 90.00
_cell_angle_gamma 90.00
loop_
_atom_site_label
_atom_site_fract_x
_atom_site_fract_y
_atom_site_fract_z
_atom_site_occupancy
Th1 0.000 0.000 0.000 1
Th2 0.000 0.000 0.252 1
Pa1 0.000 0.000 0.500 1
Pt1 0.000 0.500 0.126 1
Pt2 0.000 0.500 0.379 1
Pt3 0.500 0.500 0.000 1
Pt4 0.500 0.500 0.252 1
Pt5 0.500 0.500 0.500 1
```

=====

[3]
First-principles (PBE) data for an optimized crystal structure of Nb6VRe2, as listed in the Alexandria database.

## Properties
The magnetization is 0.00 μB per atom. For the calculated density, the calculation gives 10.7 g cm⁻³. The energy above the lowest structure with this stoichiometry comes out at 0.000 kcal/mol of atoms. Its energy of formation from the pure elements is -3.7 kcal/mol of atoms.

```
data_Nb6VRe2
_chemical_formula_sum 'Nb12 V2 Re4'
_space_group_name_H-M_alt 'C 1 2/m 1'
_space_group_IT_number 12
_cell_length_a 10.309
_cell_length_b 3.208
_cell_length_c 9.732
_cell_angle_alpha 90.00
_cell_angle_beta 109.29
_cell_angle_gamma 90.00
loop_
_space_group_symop_operation_xyz
'x,y,z'
'-x,-y,-z'
'-x,y,-z'
'x,-y,z'
'x+1/2,y+1/2,z'
'-x+1/2,-y+1/2,-z'
'-x+1/2,y+1/2,-z'
'x+1/2,-y+1/2,z'
loop_
_atom_site_label
_atom_site_fract_x
_atom_site_fract_y
_atom_site_fract_z
_atom_site_occupancy
Nb1 0.001 0.000 0.327 1
Nb2 0.170 0.500 0.891 1
Nb3 0.171 0.500 0.561 1
V1 0.000 0.000 0.000 1
Re1 0.160 0.500 0.214 1
```

=====

[4]
First-principles (PBE) data for an optimized crystal structure of Tb12Tl6Ru, as listed in the Alexandria database.

## Properties
The magnetization is 0.00 μB per atom. For the calculated density, the calculation gives 9.2 g cm⁻³. Its energy of formation from the pure elements is -3.7 kcal/mol of atoms.

```
data_Tb12Tl6Ru
_chemical_formula_sum 'Tb36 Tl18 Ru3'
_space_group_name_H-M_alt 'R -3'
_space_group_IT_number 148
_space_group_name_Hall '-R 3'
_cell_length_a 12.2413
_cell_length_b 12.2413
_cell_length_c 13.4515
_cell_angle_alpha 90.00
_cell_angle_beta 90.00
_cell_angle_gamma 120.00
loop_
_atom_site_label
_atom_site_fract_x
_atom_site_fract_y
_atom_site_fract_z
_atom_site_occupancy
Tb1 0.0330 0.1870 0.3916 1
Tb2 0.0354 0.8469 0.8772 1
Tl1 0.0095 0.3967 0.2615 1
Ru1 0.0000 0.0000 0.0000 1
```

=====

[5]
First-principles (PBE) data for an optimized crystal structure of LaBi3B, as listed in the Alexandria database.

## Properties
The magnetization is 0.00 μB per atom. For the calculated density, the calculation gives 9.3 g cm⁻³. The energy above the lowest structure with this stoichiometry comes out at 0.000 kcal/mol of atoms. Its energy of formation from the pure elements is 5.4 kcal/mol of atoms.

```
data_LaBi3B
_chemical_formula_sum 'La1 Bi3 B1'
_space_group_name_H-M_alt 'P m -3 m'
_space_group_IT_number 221
_space_group_name_Hall '-P 4 2 3'
_cell_length_a 5.179
_cell_length_b 5.179
_cell_length_c 5.179
_cell_angle_alpha 90.00
_cell_angle_beta 90.00
_cell_angle_gamma 90.00
loop_
_atom_site_label
_atom_site_fract_x
_atom_site_fract_y
_atom_site_fract_z
_atom_site_occupancy
La1 0.000 0.000 0.000 1
Bi1 0.000 0.500 0.500 1
B1 0.500 0.500 0.500 1
```

=====

[6]
First-principles (PBE) data for an optimized crystal structure of SrSi2H8, as listed in the Alexandria database.

## Properties
The raw total energy comes out at -3.5931 eV per atom. The magnetization is 0.00 μB per atom. For the calculated density, the calculation gives 2.3 g cm⁻³.

```
data_SrSi2H8
_chemical_formula_sum 'Sr2 Si4 H16'
_space_group_name_H-M_alt 'C 1 2/m 1'
_space_group_IT_number 12
_cell_length_a 8.136
_cell_length_b 4.591
_cell_length_c 7.137
_cell_angle_alpha 90.00
_cell_angle_beta 124.37
_cell_angle_gamma 90.00
loop_
_space_group_symop_operation_xyz
'x,y,z'
'-x,-y,-z'
'-x,y,-z'
'x,-y,z'
'x+1/2,y+1/2,z'
'-x+1/2,-y+1/2,-z'
'-x+1/2,y+1/2,-z'
'x+1/2,-y+1/2,z'
loop_
_atom_site_label
_atom_site_fract_x
_atom_site_fract_y
_atom_site_fract_z
_atom_site_occupancy
Sr1 0.000 0.000 0.000 1
Si1 0.175 0.000 0.640 1
H1 0.092 0.500 0.200 1
H2 0.164 0.247 0.785 1
H3 0.206 0.000 0.430 1
```

=====

[7]
First-principles (PBE) data for an optimized crystal structure of LiPm8Tl6, as listed in the Alexandria database.

## Properties
The magnetization is 0.00 μB per atom. For the calculated density, the calculation gives 8.2 g cm⁻³. Its energy of formation from the pure elements is -3.5 kcal/mol of atoms.

```
data_LiPm8Tl6
_chemical_formula_sum 'Li3 Pm24 Tl18'
_space_group_name_H-M_alt 'R -3'
_space_group_IT_number 148
_space_group_name_Hall '-R 3'
_cell_length_a 9.2342
_cell_length_b 9.2342
_cell_length_c 19.6915
_cell_angle_alpha 90.00
_cell_angle_beta 90.00
_cell_angle_gamma 120.00
loop_
_atom_site_label
_atom_site_fract_x
_atom_site_fract_y
_atom_site_fract_z
_atom_site_occupancy
Li1 0.0000 0.0000 0.0000 1
Pm1 0.0000 0.0000 0.3362 1
Pm2 0.0019 0.6768 0.1110 1
Tl1 0.0028 0.6770 0.9436 1
```

=====

[8]
First-principles (PBE) data for an optimized crystal structure of Pu3RhS6, as listed in the Alexandria database.

## Properties
The magnetization is 1.50 μB per atom. For the calculated density, the calculation gives 7.8 g cm⁻³. As for the uncorrected formation energy: -1.329 eV/atom.

```
data_Pu3RhS6
_chemical_formula_sum 'Pu18 Rh6 S36'
_space_group_name_H-M_alt 'R -3'
_space_group_IT_number 148
_space_group_name_Hall '-R 3'
_cell_length_a 11.7024
_cell_length_b 11.7024
_cell_length_c 11.0097
_cell_angle_alpha 90.00
_cell_angle_beta 90.00
_cell_angle_gamma 120.00
loop_
_atom_site_label
_atom_site_fract_x
_atom_site_fract_y
_atom_site_fract_z
_atom_site_occupancy
Pu1 0.0509 0.2747 0.1564 1
Rh1 0.0000 0.0000 0.0000 1
Rh2 0.0000 0.0000 0.5000 1
S1 0.0339 0.2052 0.8974 1
S2 0.0536 0.1987 0.3909 1
```